# 1
DFT (GGA-PBE) results for a relaxed structure of Ba2NaHf.

a b c (Å): 6.098 6.098 6.098
angles (deg): 60.00 60.00 60.00
Fractional positions:
Ba 0.250 0.250 0.250
Ba 0.750 0.750 0.750
Na 0.000 0.000 0.000
Hf 0.500 0.500 0.500

Properties
Formation enthalpy at 0 K in meV per atom: 676
Energy above the lowest structure with this stoichiometry in meV per atom: 0

---

# 2
DFT (GGA-PBE) results for a relaxed structure of AgHg2TeI.

a b c (Å): 5.775 5.775 5.394
angles (deg): 90.00 90.00 90.00
Fractional positions:
Ag 0.000 0.000 0.000
Hg 0.000 0.500 0.500
Hg 0.500 0.000 0.500
Te 0.000 0.000 0.500
I 0.500 0.500 0.000

Properties
Formation energy without anion corrections in eV per atom: 0.00

---

# 3
DFT (GGA-PBE) results for a relaxed structure of TaPt2Br2.

a b c (Å): 9.166 9.166 9.166
angles (deg): 157.24 157.24 32.41
Fractional positions:
Ta 0.000 0.000 0.000
Pt 0.426 0.426 0.000
Pt 0.574 0.574 0.000
Br 0.250 0.750 0.500
Br 0.750 0.250 0.500

Properties
Energy above the lowest structure with this stoichiometry in meV per atom: 277
Formation energy without anion corrections in eV per atom: 0.70

---

# 4
DFT (GGA-PBE) results for a relaxed structure of NpTaNbRu.

a b c (Å): 4.649 4.649 4.649
angles (deg): 60.00 60.00 60.00
Fractional positions:
Np 0.000 0.000 0.000
Ta 0.750 0.750 0.750
Nb 0.250 0.250 0.250
Ru 0.500 0.500 0.500

Properties
Formation enthalpy at 0 K in meV per atom: 257

---

# 5
DFT (GGA-PBE) results for a relaxed structure of PmEuNi2.

a b c (Å): 4.907 4.907 4.907
angles (deg): 60.00 60.00 60.00
Fractional positions:
Pm 0.000 0.000 0.000
Eu 0.500 0.500 0.500
Ni 0.250 0.250 0.250
Ni 0.750 0.750 0.750

Properties
Formation enthalpy at 0 K in meV per atom: -152
Energy above the lowest structure with this stoichiometry in meV per atom: 22

---

# 6
DFT (GGA-PBE) results for a relaxed structure of KZn2HgF8.

a b c (Å): 5.237 5.257 6.711
angles (deg): 88.00 88.00 87.46
Fractional positions:
K 0.000 0.000 0.000
Zn 0.496 0.496 0.248
Zn 0.504 0.504 0.752
Hg 0.000 0.000 0.500
F 0.221 0.764 0.718
F 0.239 0.782 0.281
F 0.319 0.322 0.483
F 0.335 0.339 0.989
F 0.665 0.661 0.011
F 0.681 0.678 0.517
F 0.761 0.218 0.719
F 0.779 0.236 0.282

Properties
Formation energy without anion corrections in eV per atom: -1.96

---

| no. | final energy (eV/cell) |
| --- | --- |
| 1 | -12.42 |
| 2 | -8.13 |
| 3 | -23.78 |
| 4 | -43.11 |
| 5 | -27.20 |
| 6 | -42.48 |